1.
{"formula": "FeMoS3", "functional": "PBE", "state": "optimized geometry", "space_group": "Pm-3m", "total_magnetization_mub_per_atom": 0.8146, "polymorph_energy_ev_per_atom": 0.0000, "lattice_angstrom": [[4.673, 0.000, 0.000], [0.000, 4.673, 0.000], [0.000, 0.000, 4.673]], "species": ["Fe", "Mo", "S", "S", "S"], "fractional_positions": [[0.000, 0.000, 0.000], [0.500, 0.500, 0.500], [0.000, 0.500, 0.500], [0.500, 0.000, 0.500], [0.500, 0.500, 0.000]]}

2.
{"formula": "Tl2ReBr", "functional": "PBE", "state": "optimized geometry", "space_group": "F-43m", "total_magnetization_mub_per_atom": 0.9446, "polymorph_energy_ev_per_atom": 0.5495, "lattice_angstrom": [[0.000, 3.744, 3.744], [3.744, 0.000, 3.744], [3.744, 3.744, 0.000]], "species": ["Tl", "Tl", "Re", "Br"], "fractional_positions": [[0.000, 0.000, 0.000], [0.250, 0.250, 0.250], [0.750, 0.750, 0.750], [0.500, 0.500, 0.500]]}

no.,total energy (eV/atom),E_form (uncorrected) (eV per atom)
1,-5.8245,0.511
2,-3.5533,1.160